Record 1
Computed, not measured: Rb2SrAsPd after structural relaxation at the PBE-GGA level of DFT.

Calculated values
Spin magnetization: 0.0 μB/f.u.
Energy of formation from the pure elements: 4 meV/atom

Unit cell a=6.874 b=6.874 c=4.714 alpha=90.00 beta=90.00 gamma=90.00
Space group P4/mmm (No. 123)
Symmetry-distinct sites (fractional):
Rb 0.000 0.500 0.000 x2
Sr 0.000 0.000 0.500 x1
As 0.500 0.500 0.000 x1
Pd 0.500 0.500 0.500 x1

---

Record 2
Computed, not measured: SnBi3O7 after structural relaxation at the PBE-GGA level of DFT.

Calculated values
Spin magnetization: 0.0 μB/f.u.
E_form (uncorrected): -122.6 kJ per mole of atoms

Unit cell a=7.882 b=10.866 c=7.739 alpha=90.00 beta=90.00 gamma=90.00
Space group C222_1 (No. 20)
Symmetry-distinct sites (fractional):
Sn 0.003 0.000 0.000 x4
Bi 0.040 0.500 0.000 x4
Bi 0.234 0.236 0.240 x8
O 0.000 0.072 0.250 x4
O 0.000 0.356 0.250 x4
O 0.000 0.364 0.750 x4
O 0.185 0.135 0.960 x8
O 0.210 0.118 0.537 x8

---

Record 3
Computed, not measured: Ac2PaAlPt6 after structural relaxation at the PBE-GGA level of DFT.

Calculated values
Spin magnetization: 0.0 μB/f.u.
Energy of formation from the pure elements: -912 meV/atom

Unit cell a=12.819 b=5.685 c=8.818 alpha=90.00 beta=132.96 gamma=90.00
Space group C2/m (No. 12)
Symmetry-distinct sites (fractional):
Ac 0.233 0.000 0.180 x4
Pa 0.000 0.000 0.500 x2
Al 0.000 0.500 0.000 x2
Pt 0.009 0.256 0.252 x8
Pt 0.245 0.500 0.380 x4

---

Record 4
Computed, not measured: Ca4AcIn2 after structural relaxation at the PBE-GGA level of DFT.

Calculated values
Spin magnetization: 0.0 μB/f.u.
Energy of formation from the pure elements: -232 meV/atom

Unit cell a=9.643 b=9.643 c=5.427 alpha=90.00 beta=90.00 gamma=90.00
Space group P4_2/mnm (No. 136)
Symmetry-distinct sites (fractional):
Ca 0.082 0.329 0.000 x8
Ac 0.000 0.000 0.500 x2
In 0.240 0.760 0.000 x4

---

Record 5
Computed, not measured: Sc2RhC2 after structural relaxation at the PBE-GGA level of DFT.

Calculated values
Spin magnetization: 0.0 μB/f.u.
Energy of formation from the pure elements: 510 meV/atom

Unit cell a=6.727 b=6.727 c=2.891 alpha=90.00 beta=90.00 gamma=90.00
Space group P4/mbm (No. 127)
Symmetry-distinct sites (fractional):
Sc 0.145 0.355 0.000 x4
Rh 0.000 0.000 0.000 x2
C 0.172 0.672 0.500 x4

---

Record 6
Computed, not measured: AlSbCl2 after structural relaxation at the PBE-GGA level of DFT.

Calculated values
Spin magnetization: 0.0 μB/f.u.
E_form (uncorrected): 1.7 kJ per mole of atoms

Unit cell a=7.063 b=7.063 c=7.063 alpha=90.00 beta=90.00 gamma=90.00
Space group F-43m (No. 216)
Symmetry-distinct sites (fractional):
Al 0.000 0.000 0.000 x4
Sb 0.250 0.250 0.250 x4
Cl 0.000 0.000 0.500 x4
Cl 0.250 0.250 0.750 x4

---

Record 7
Computed, not measured: LiMn2Ni after structural relaxation at the PBE-GGA level of DFT.

Calculated values
Spin magnetization: 8.3 μB/f.u.
Energy of formation from the pure elements: 211 meV/atom

Unit cell a=2.877 b=2.877 c=6.801 alpha=90.00 beta=90.00 gamma=90.00
Space group P4/mmm (No. 123)
Symmetry-distinct sites (fractional):
Li 0.000 0.000 0.000 x1
Mn 0.500 0.500 0.281 x2
Ni 0.000 0.000 0.500 x1

---

Record 8
Computed, not measured: Ac6Sn2Rh after structural relaxation at the PBE-GGA level of DFT.

Calculated values
Spin magnetization: 0.0 μB/f.u.
Energy of formation from the pure elements: -494 meV/atom

Unit cell a=7.146 b=8.984 c=12.803 alpha=90.00 beta=122.38 gamma=90.00
Space group P2_1/c (No. 14)
Symmetry-distinct sites (fractional):
Ac 0.091 0.171 0.445 x4
Ac 0.311 0.689 0.447 x4
Ac 0.365 0.030 0.244 x4
Sn 0.181 0.117 0.753 x4
Rh 0.500 0.000 0.500 x2

---

Q: spin magnetization of number 2 (SnBi3O7)?
A: 0.0 μB/f.u.

---

Q: Look up the spin magnetization of the fourth one.
A: 0.0 μB/f.u.